## Nd2CuNi3Sb4 (GGA-PBE)

Data for an optimized crystal structure of Nd2CuNi3Sb4.

Lattice parameters (Å, degrees): 4.488 4.488 10.139 90.00 90.00 90.00
Atoms (fractional coordinates):
1 Nd 0.000 0.500 0.242
2 Nd 0.500 0.000 0.758
3 Cu 0.500 0.500 0.000
4 Ni 0.000 0.000 0.000
5 Ni 0.000 0.500 0.623
6 Ni 0.500 0.000 0.377
7 Sb 0.000 0.000 0.500
8 Sb 0.000 0.500 0.869
9 Sb 0.500 0.000 0.131
10 Sb 0.500 0.500 0.500

Final energy: -5.35 eV/atom
ΔE_f (raw): -0.600 eV/atom